Entry 1:
Compound: AlBiMo2O
Source: Alexandria
Functional: GGA+U
Structure: optimized geometry

a b c (Å): 5.692 5.692 3.477
angles (deg): 90.00 90.00 90.00
Sites, in units of the cell vectors:
Al: 0.000 0.000 0.000
Bi: 0.500 0.500 0.500
Mo: 0.000 0.500 0.000
Mo: 0.500 0.000 0.000
O: 0.000 0.000 0.500

Results
- total moment (μB per formula unit) = 8.50
- symmetry = P4/mmm (123)
- final energy (eV per atom) = -5.011
- ρ (g cm⁻³) = 6.5

***

Entry 2:
Compound: Al2BiMoO8
Source: Alexandria
Functional: GGA+U
Structure: optimized geometry

a b c (Å): 4.623 4.623 6.312
angles (deg): 90.00 90.00 90.21
Sites, in units of the cell vectors:
Al: 0.000 0.000 0.240
Al: 0.000 0.000 0.760
Bi: 0.500 0.500 0.500
Mo: 0.500 0.500 0.000
O: 0.168 0.168 0.500
O: 0.196 0.196 0.000
O: 0.292 0.708 0.218
O: 0.292 0.708 0.782
O: 0.708 0.292 0.218
O: 0.708 0.292 0.782
O: 0.804 0.804 0.000
O: 0.832 0.832 0.500

Results
- total moment (μB per formula unit) = 0.00
- symmetry = Cmmm (65)
- final energy (eV per atom) = -6.765
- ρ (g cm⁻³) = 6.0

***

The highest total moment belongs to which entry? AlBiMo2O